Computed, not measured: an optimized crystal structure of AlFeNi at the GGA-PBE level of DFT.

Calculated density (Mg/m³): 6.518
Formation enthalpy at 0 K (eV per atom): -0.293
Total moment (Bohr magnetons per cell): 5.07

Cell lengths 2.6786, 2.6786, 10.0494 Å; angles 90.00, 90.00, 90.00 degrees
Closest atoms and distances in Å follow each position.
Space group I4mm (No. 107)
Inequivalent atoms, fractional coordinates:
Al1 0.0000 0.0000 0.0000 (multiplicity 2)  4 Ni 2.49, 4 Fe 2.58, 4 Al 2.68
Fe1 0.0000 0.0000 0.3259 (multiplicity 2)  4 Ni 2.52, 4 Al 2.58, 4 Fe 2.68
Ni1 0.0000 0.0000 0.6606 (multiplicity 2)  4 Al 2.49, 4 Fe 2.52, 4 Ni 2.68